Entry 1:
Computed, not measured: a geometry-optimized PrHoZn2In2 structure at the PBE level of DFT.

Summary:
total magnetic moment	0.00	μB/f.u.
formation energy	-0.447	eV per atom
space group	P-3m1, No. 164
N(E_F)	3.6	states/eV/cell

Unit cell a=4.7070 b=4.7070 c=7.4630 alpha=90.00 beta=90.00 gamma=120.00
Element x y z (fractional)
Pr 0.0000 0.0000 0.0000
Ho 0.0000 0.0000 0.5000
Zn 0.3333 0.6667 0.2837
Zn 0.6667 0.3333 0.7163
In 0.3333 0.6667 0.7346
In 0.6667 0.3333 0.2654


Entry 2:
Computed, not measured: a geometry-optimized PrHoZnIn structure at the PBE level of DFT.

Summary:
total magnetic moment	0.00	μB/f.u.
formation energy	-0.378	eV per atom
space group	F-43m, No. 216
N(E_F)	4.0	states/eV/cell

Unit cell a=5.3030 b=5.3030 c=5.3030 alpha=60.00 beta=60.00 gamma=60.00
Element x y z (fractional)
Pr 0.2500 0.2500 0.2500
Zn 0.0000 0.0000 0.0000
Ho 0.7500 0.7500 0.7500
In 0.5000 0.5000 0.5000


Entry 3:
Computed, not measured: a geometry-optimized PrHoZnIn structure at the PBE level of DFT.

Summary:
total magnetic moment	0.00	μB/f.u.
formation energy	-0.407	eV per atom
space group	P4mm, No. 99
N(E_F)	3.4	states/eV/cell

Unit cell a=3.6969 b=3.6969 c=7.6050 alpha=90.00 beta=90.00 gamma=90.00
Element x y z (fractional)
Pr 0.0000 0.0000 0.8398
Ho 0.0000 0.0000 0.3785
Zn 0.5000 0.5000 0.5851
In 0.5000 0.5000 0.1245